Density functional theory data (PBE) for Tb2DyEr after structural relaxation.

```
Tb2DyEr
1.0
5.0023 0.0000 0.0000
0.0000 5.0023 0.0000
0.0000 0.0000 4.9946
Tb Dy Er
2 1 1
Cartesian
0.0000 2.5012 0.0000 Tb
2.5012 0.0000 0.0000 Tb
0.0000 0.0000 2.4973 Dy
2.5012 2.5012 2.4973 Er
```

Results
For the energy above the most stable polymorph in this dataset, the calculation gives 13.0 meV per atom. As for the crystal system: tetragonal. The formation energy from the elements comes out at 0.020 eV per atom.

***

Density functional theory data (PBE) for Sr2YTa after structural relaxation.

```
Sr2YTa
1.0
6.1990 -1.7353 0.0000
6.1990 1.7353 0.0000
-1.2189 0.0000 5.9395
Sr Y Ta
2 1 1
Cartesian
2.5783 0.0000 1.3730 Sr
8.6009 0.0000 4.5665 Sr
-0.6095 0.0000 2.9698 Y
6.1990 0.0000 0.0000 Ta
```

Results
For the energy above the most stable polymorph in this dataset, the calculation gives 273.3 meV per atom. As for the crystal system: monoclinic. The formation energy from the elements comes out at 0.825 eV per atom.

***

Density functional theory data (PBE) for LaCeSmPa after structural relaxation.

```
LaCeSmPa
1.0
0.0000 3.9466 3.9466
3.9466 0.0000 3.9466
3.9466 3.9466 0.0000
La Ce Sm Pa
1 1 1 1
Cartesian
0.0000 0.0000 0.0000 La
3.9466 3.9466 3.9466 Ce
1.9733 1.9733 1.9733 Sm
5.9199 5.9199 5.9199 Pa
```

Results
As for the crystal system: cubic. The formation energy from the elements comes out at 0.409 eV per atom.

***

- Which value of formation energy from the elements does entry 1 give?
  0.020 eV per atom

***

- What is the formation energy from the elements in the third record?
  0.409 eV per atom

***

- Which of these has the highest formation energy from the elements?
  Sr2YTa